Compound: CdP2Pb
Source: the Alexandria database
Functional: GGA-PBE
Structure: optimized geometry

Summary:
Its formation energy is 0.450 eV/atom.

CIF file:
```
data_CdP2Pb
_symmetry_space_group_name_H-M 'C m m m'
_symmetry_Int_Tables_number 65
_symmetry_space_group_name_Hall '-C 2 2'
_cell_length_a 4.237
_cell_length_b 5.476
_cell_length_c 7.601
_cell_angle_alpha 90.00
_cell_angle_beta 90.00
_cell_angle_gamma 90.00
loop_
_atom_site_label
_atom_site_fract_x
_atom_site_fract_y
_atom_site_fract_z
Cd1 0.000 0.000 0.000
P1 0.000 0.500 0.227
Pb1 0.000 0.000 0.500
```

---

Compound: Pm2Pr6NdHo
Source: the Alexandria database
Functional: GGA-PBE
Structure: optimized geometry

Summary:
Its formation energy is 0.110 eV/atom.

CIF file:
```
data_Pm2Pr6NdHo
_symmetry_space_group_name_H-M 'C 1 2/c 1'
_symmetry_Int_Tables_number 15
_cell_length_a 9.343
_cell_length_b 15.491
_cell_length_c 9.917
_cell_angle_alpha 90.00
_cell_angle_beta 98.29
_cell_angle_gamma 90.00
loop_
_symmetry_equiv_pos_as_xyz
'x,y,z'
'-x,-y,-z'
'-x,y,-z+1/2'
'x,-y,z+1/2'
'x+1/2,y+1/2,z'
'-x+1/2,-y+1/2,-z'
'-x+1/2,y+1/2,-z+1/2'
'x+1/2,-y+1/2,z+1/2'
loop_
_atom_site_label
_atom_site_fract_x
_atom_site_fract_y
_atom_site_fract_z
Pm1 0.247 0.049 0.044
Pr1 0.065 0.183 0.446
Pr2 0.099 0.395 0.619
Pr3 0.210 0.221 0.811
Nd1 0.000 0.021 0.750
Ho1 0.000 0.409 0.250
```

---

Compound: Ac4La3Tb2
Source: the Alexandria database
Functional: GGA-PBE
Structure: optimized geometry

Summary:
Its formation energy is 0.096 eV/atom.

CIF file:
```
data_Ac4La3Tb2
_symmetry_space_group_name_H-M 'C 1 2/m 1'
_symmetry_Int_Tables_number 12
_cell_length_a 15.656
_cell_length_b 3.863
_cell_length_c 13.642
_cell_angle_alpha 90.00
_cell_angle_beta 119.57
_cell_angle_gamma 90.00
loop_
_symmetry_equiv_pos_as_xyz
'x,y,z'
'-x,-y,-z'
'-x,y,-z'
'x,-y,z'
'x+1/2,y+1/2,z'
'-x+1/2,-y+1/2,-z'
'-x+1/2,y+1/2,-z'
'x+1/2,-y+1/2,z'
loop_
_atom_site_label
_atom_site_fract_x
_atom_site_fract_y
_atom_site_fract_z
Ac1 0.117 0.000 0.360
Ac2 0.132 0.500 0.883
La1 0.000 0.000 0.000
La2 0.111 0.500 0.600
Tb1 0.202 0.500 0.184
```

---

Number 1: uncorrected energy -13.64 eV/f.u., spin magnetization 0.0 μB/cell. Number 2: uncorrected energy -46.42 eV/f.u., spin magnetization 0.0 μB/cell. Number 3: uncorrected energy -39.61 eV/f.u., spin magnetization 0.0 μB/cell.